(1)
## Mg3Cr4 (meta-GGA SCAN)

Data for a crystal of Mg3Cr4 relaxed with PBEsol.

Properties
Total DFT energy (no corrections) = -12.0363 eV/atom
Calculated formation energy = 0.60 eV/atom
Size of the total moment = 5.3 μB per formula unit

Unit cell a=5.1711 b=5.1711 c=4.8476 alpha=90.00 beta=90.00 gamma=120.00
Last column: nearest neighbours and their distance in Å.
Positions (direct):
Mg 0.0000 0.5000 0.0000  4 Mg 2.59, 4 Cr 2.85
Mg 0.5000 0.0000 0.0000  4 Mg 2.59, 4 Cr 2.85
Mg 0.5000 0.5000 0.0000  4 Mg 2.59, 4 Cr 2.85
Cr 0.0000 0.0000 0.3079  1 Cr 1.86
Cr 0.0000 0.0000 0.6921  1 Cr 1.86
Cr 0.3333 0.6667 0.5000  6 Mg 2.85, 9 Cr 2.99-3.13
Cr 0.6667 0.3333 0.5000  6 Mg 2.85, 9 Cr 2.99-3.13

---

(2)
## BaSr2Cu (meta-GGA SCAN)

Data for a crystal of BaSr2Cu relaxed with PBEsol.

Properties
Total DFT energy (no corrections) = -24.7698 eV/atom
Relative energy among the computed polymorphs = 0.00 eV per formula unit
Calculated formation energy = 0.06 eV/atom
Size of the total moment = 0.0 μB per formula unit

Unit cell a=3.9065 b=3.9065 c=10.2137 alpha=90.00 beta=90.00 gamma=90.00
Last column: nearest neighbours and their distance in Å.
Positions (direct):
Ba 0.0000 0.0000 0.0000  4 Cu 3.35, 1 Sr 3.59
Sr 0.0000 0.0000 0.3513  4 Cu 3.24, 1 Ba 3.59
Sr 0.5000 0.5000 0.6667  8 Sr 3.91-4.24
Cu 0.5000 0.5000 0.1859  4 Sr 3.24, 4 Ba 3.35

---

(3)
## ZrScAs4 (meta-GGA SCAN)

Data for a crystal of ZrScAs4 relaxed with PBEsol.

Properties
Total DFT energy (no corrections) = -21.0426 eV/atom
Calculated formation energy = -0.09 eV/atom
Size of the total moment = 0.0 μB per formula unit

Unit cell a=5.4598 b=5.4598 c=5.4598 alpha=60.00 beta=60.00 gamma=60.00
Last column: nearest neighbours and their distance in Å.
Positions (direct):
Zr 0.0000 0.0000 0.0000  12 As 3.20, 4 Sc 3.34
Sc 0.7500 0.7500 0.7500  12 As 3.20, 4 Zr 3.34
As 0.3747 0.3747 0.3747  6 As 2.72-2.74
As 0.3747 0.3747 0.8759  6 As 2.72-2.74
As 0.3747 0.8759 0.3747  6 As 2.72-2.74
As 0.8759 0.3747 0.3747  6 As 2.72-2.74